The following is a PBE-GGA calculation of an optimized crystal structure of Rb2BaCl4, from Alexandria.

Cell and atoms, written as CIF:
```
data_Rb2BaCl4
_cell_length_a 6.007
_cell_length_b 6.007
_cell_length_c 9.547
_cell_angle_alpha 108.34
_cell_angle_beta 108.34
_cell_angle_gamma 90.00
_symmetry_space_group_name_H-M 'P 1'
_symmetry_Int_Tables_number 1
loop_
_symmetry_equiv_pos_as_xyz
'x,y,z'
loop_
_atom_site_label
_atom_site_type_symbol
_atom_site_fract_x
_atom_site_fract_y
_atom_site_fract_z
_atom_site_occupancy
Cl1 Cl 0.823 0.823 0.647 1
Cl2 Cl 0.500 0.000 0.000 1
Cl3 Cl 0.177 0.177 0.353 1
Cl4 Cl 0.000 0.500 0.000 1
Rb1 Rb 0.641 0.641 0.282 1
Rb2 Rb 0.359 0.359 0.718 1
Ba1 Ba 0.000 0.000 0.000 1
```

Fermi-level density of states: 0.00 states/eV/cell



The following is a PBE-GGA calculation of an optimized crystal structure of RbBa2Cl, from Alexandria.

Cell and atoms, written as CIF:
```
data_RbBa2Cl
_cell_length_a 4.477
_cell_length_b 4.477
_cell_length_c 13.174
_cell_angle_alpha 80.22
_cell_angle_beta 80.22
_cell_angle_gamma 60.00
_symmetry_space_group_name_H-M 'P 1'
_symmetry_Int_Tables_number 1
loop_
_symmetry_equiv_pos_as_xyz
'x,y,z'
loop_
_atom_site_label
_atom_site_type_symbol
_atom_site_fract_x
_atom_site_fract_y
_atom_site_fract_z
_atom_site_occupancy
Rb1 Rb 0.000 0.000 0.000 1
Ba1 Ba 0.886 0.886 0.341 1
Ba2 Ba 0.114 0.114 0.659 1
Cl1 Cl 0.500 0.500 0.500 1
```

Fermi-level density of states: 4.08 states/eV/cell



no.,uncorrected formation energy (meV/atom)
1,-2096
2,-743